(1)
Pm3SbRu | PBE | relaxed

Computed properties:
Polymorph energy (0 for the lowest one) = 205 meV/atom
Spin magnetization = 0.0 Bohr magnetons per cell
Fermi-level density of states = 4.660 states/eV per cell
Theoretical density = 7.0 g/cm³
Formation energy from raw total energies = -1.7 eV per formula unit
Energy = -5.863 eV per atom

Lattice parameters (Å, degrees): 5.378 5.378 5.378 90.00 90.00 90.00
Space group Pm-3m (No. 221)
One atom of each set of equivalent atoms:
Pm 0.000 0.000 0.500 [3 per cell]
Sb 0.500 0.500 0.500 [1 per cell]
Ru 0.000 0.000 0.000 [1 per cell]


(2)
Dy6Ho8Zr | PBE | relaxed

Computed properties:
Calculated formation energy = 0.13 eV per atom
Spin magnetization = 0.0 Bohr magnetons per cell
Fermi-level density of states = 60.947 states/eV per cell
Theoretical density = 8.5 g/cm³
Energy = -4.726 eV per atom

Lattice parameters (Å, degrees): 8.9597 8.9597 20.2154 90.00 90.00 120.00
Space group R-3 (No. 148, hexagonal axes)
One atom of each set of equivalent atoms:
Dy 0.0737 0.2526 0.2072 [18 per cell]
Ho 0.0000 0.0000 0.0763 [6 per cell]
Ho 0.0843 0.5549 0.3059 [18 per cell]
Zr 0.0000 0.0000 0.5000 [3 per cell]


(3)
SrMg2Se | PBE | relaxed

Computed properties:
Spin magnetization = 0.0 Bohr magnetons per cell
Fermi-level density of states = 3.214 states/eV per cell
Theoretical density = 3.2 g/cm³
Formation energy from raw total energies = -1.6 eV per formula unit
Energy = -2.478 eV per atom

Lattice parameters (Å, degrees): 7.681 7.681 7.681 90.00 90.00 90.00
Space group F-43m (No. 216)
One atom of each set of equivalent atoms:
Sr 0.000 0.000 0.000 [4 per cell]
Mg 0.000 0.000 0.500 [4 per cell]
Mg 0.250 0.250 0.250 [4 per cell]
Se 0.250 0.250 0.750 [4 per cell]


(4)
LaSe2Cl | PBE | relaxed

Computed properties:
Polymorph energy (0 for the lowest one) = 604 meV/atom
Spin magnetization = 4.2 Bohr magnetons per cell
Fermi-level density of states = 30.693 states/eV per cell
Theoretical density = 5.6 g/cm³
Formation energy from raw total energies = -3.7 eV per formula unit
Energy = -4.355 eV per atom

Lattice parameters (Å, degrees): 7.352 7.352 7.352 90.00 90.00 90.00
Space group Fm-3m (No. 225)
One atom of each set of equivalent atoms:
La 0.000 0.000 0.000 [4 per cell]
Se 0.250 0.250 0.250 [8 per cell]
Cl 0.000 0.000 0.500 [4 per cell]